DFT (PBE with a Hubbard U) results for a relaxed NaNiO2 crystal.

Calculated values
Spin magnetization = 1.00 μB per formula unit
E_tot = -0.3351 Ry per atom

The structure in POSCAR format:
```
NaNiO2
1.0
3.041 0.000 0.000
0.000 5.072 -0.001
0.000 -1.546 5.291
Na Ni O
2 2 4
direct
0.500 0.500 0.500
0.000 0.000 0.500
0.500 0.000 0.000
0.000 0.500 0.000
0.457 0.261 0.805
0.043 0.761 0.805
0.543 0.739 0.195
0.957 0.239 0.195
```